Entry from Alexandria via LeMat-Bulk: Pu2O3 after structural relaxation (PBEsol).

Results
* uncorrected formation energy: -2848 meV/atom
* volume: 15.40 Å³/atom

Lattice parameters (Å, degrees): 10.7205 10.7205 10.7205 90.00 90.00 90.00
Space group Ia-3 (No. 206)
One atom of each set of equivalent atoms:
Pu1 0.0000 0.2500 0.4742 x24
Pu2 0.2500 0.2500 0.2500 x8
O1 0.1131 0.1475 0.6206 x48

Entry from Alexandria via LeMat-Bulk: Pu2TeO2 after structural relaxation (PBEsol).

Results
* uncorrected formation energy: -2308 meV/atom
* volume: 18.72 Å³/atom

Lattice parameters (Å, degrees): 3.8993 3.8993 12.3147 90.00 90.00 90.00
Space group I4/mmm (No. 139)
One atom of each set of equivalent atoms:
Pu1 0.0000 0.0000 0.1558 x4
Te1 0.0000 0.0000 0.5000 x2
O1 0.0000 0.5000 0.2500 x4

Entry from Alexandria via LeMat-Bulk: PuTiO3 after structural relaxation (PBEsol).

Results
* uncorrected formation energy: -2808 meV/atom
* volume: 11.59 Å³/atom

Lattice parameters (Å, degrees): 3.8701 3.8701 3.8701 90.00 90.00 90.00
Space group Pm-3m (No. 221)
One atom of each set of equivalent atoms:
Pu1 0.0000 0.0000 0.0000 x1
Ti1 0.5000 0.5000 0.5000 x1
O1 0.0000 0.5000 0.5000 x3

Entry from Alexandria via LeMat-Bulk: RbO after structural relaxation (PBEsol).

Results
* uncorrected formation energy: -519 meV/atom
* volume: 22.29 Å³/atom

Lattice parameters (Å, degrees): 5.6287 5.6287 5.6287 90.00 90.00 90.00
Space group Fm-3m (No. 225)
One atom of each set of equivalent atoms:
Rb1 0.0000 0.0000 0.0000 x4
O1 0.0000 0.0000 0.5000 x4

Entry from Alexandria via LeMat-Bulk: RbO after structural relaxation (PBEsol).

Results
* uncorrected formation energy: -1026 meV/atom
* volume: 21.61 Å³/atom

Lattice parameters (Å, degrees): 4.1626 5.9235 7.0102 90.00 90.00 90.00
Space group Immm (No. 71)
One atom of each set of equivalent atoms:
Rb1 0.0000 0.0000 0.2429 x4
O1 0.0000 0.3732 0.5000 x4

Entry from Alexandria via LeMat-Bulk: Rb6O after structural relaxation (PBEsol).

Results
* uncorrected formation energy: -439 meV/atom
* volume: 63.75 Å³/atom

Lattice parameters (Å, degrees): 8.2844 8.2844 30.0339 90.00 90.00 120.00
Space group P6_3/m (No. 176)
One atom of each set of equivalent atoms:
Rb1 0.0000 0.0000 0.0000 x2
Rb2 0.0683 0.3861 0.1387 x12
Rb3 0.0805 0.6546 0.2500 x6
Rb4 0.3333 0.6667 0.5158 x4
O1 0.3333 0.6667 0.1867 x4

Entry from Alexandria via LeMat-Bulk: RbO3 after structural relaxation (PBEsol).

Results
* uncorrected formation energy: -615 meV/atom
* volume: 17.57 Å³/atom

Lattice parameters (Å, degrees): 6.4557 5.9315 8.7830 90.00 123.29 90.00
Space group P2_1/c (No. 14)
One atom of each set of equivalent atoms:
Rb1 0.2249 0.2454 0.0859 x4
O1 0.0995 0.5618 0.7915 x4
O2 0.2883 0.7063 0.8957 x4
O3 0.3161 0.7450 0.5572 x4

Entry from Alexandria via LeMat-Bulk: RbReSO3 after structural relaxation (PBEsol).

Results
* uncorrected formation energy: -1460 meV/atom
* volume: 21.64 Å³/atom

Lattice parameters (Å, degrees): 9.2184 7.7116 8.1395 90.00 116.15 90.00
Space group P2_1/c (No. 14)
One atom of each set of equivalent atoms:
Rb1 0.1917 0.1404 0.4756 x4
Re1 0.2297 0.6317 0.4984 x4
S1 0.4538 0.7284 0.1141 x4
O1 0.0699 0.7195 0.9200 x4
O2 0.2164 0.0053 0.1620 x4
O3 0.2176 0.5043 0.3158 x4